(1)
Compound: LiSi2Sb
Source: the Alexandria database
Functional: PBE-GGA
Structure: relaxed

Cell: 3.9022 3.9022 4.7509 Å, 90.00 90.00 90.00°
Last column: nearest neighbours and their distance in Å.
Space group P4/mmm (No. 123)
Symmetry-distinct sites (fractional):
Li (0.0000, 0.0000, 0.0000) (multiplicity 1)  4 Sb 2.76, 8 Si 3.07
Si (0.0000, 0.5000, 0.5000) (multiplicity 2)  4 Si 2.76, 4 Li 3.07, 4 Sb 3.07
Sb (0.5000, 0.5000, 0.0000) (multiplicity 1)  4 Li 2.76, 8 Si 3.07

Summary:
Its energy relative to the elements, uncorrected is 0.190 eV per atom. The calculation puts the total magnetization at 0.00 μB/f.u. Its crystal system is tetragonal.


(2)
Compound: MgTa2Au
Source: the Alexandria database
Functional: PBE-GGA
Structure: relaxed

Cell: 2.9199 2.9199 30.1890 Å, 90.00 90.00 120.00°
Last column: nearest neighbours and their distance in Å.
Space group R-3m (No. 166, hexagonal axes)
Symmetry-distinct sites (fractional):
Mg (0.0000, 0.0000, 0.0000) (multiplicity 3)  6 Mg 2.92, 6 Ta 3.11
Ta (0.0000, 0.0000, 0.2467) (multiplicity 6)  6 Ta 2.92, 3 Au 2.95, 3 Mg 3.11
Au (0.0000, 0.0000, 0.5000) (multiplicity 3)  6 Au 2.92, 6 Ta 2.95

Summary:
The calculation puts the total magnetization at 0.00 μB/f.u. Its formation energy is 0.805 eV/f.u. Its crystal system is trigonal.


(3)
Compound: Al2AuCl
Source: the Alexandria database
Functional: PBE-GGA
Structure: relaxed

Cell: 3.1873 5.2720 4.4732 Å, 90.00 90.03 90.00°
Last column: nearest neighbours and their distance in Å.
Space group Pm (No. 6)
Symmetry-distinct sites (fractional):
Al (0.0000, 0.0000, 0.0000) (multiplicity 1)  2 Cl 2.64, 4 Au 2.74-2.76
Al (0.4782, 0.5000, 0.5249) (multiplicity 1)  3 Cl 2.57-2.84, 2 Au 2.64
Au (0.4989, 0.0000, 0.4979) (multiplicity 1)  6 Al 2.64-2.76
Cl (0.0025, 0.5000, 0.9875) (multiplicity 1)  5 Al 2.57-2.84

Summary:
The calculation puts the offset from the most stable computed form at 151.5 meV per atom. Its energy relative to the elements, uncorrected is -0.347 eV per atom. The calculation puts the total magnetization at 0.00 μB/f.u. Its crystal system is monoclinic.


(4)
Compound: Pm2YErTm6
Source: the Alexandria database
Functional: PBE-GGA
Structure: relaxed

Cell: 8.9255 14.9455 9.5593 Å, 90.00 98.67 90.00°
Last column: nearest neighbours and their distance in Å.
Space group C2/c (No. 15)
Symmetry-distinct sites (fractional):
Pm (0.2481, 0.0534, 0.0434) (multiplicity 8)  6 Tm 3.23-3.60, 2 Y 3.34-3.36, 1 Er 3.52
Y (0.0000, 0.0191, 0.7500) (multiplicity 4)  4 Pm 3.34-3.36, 4 Tm 3.56-3.64
Er (0.0000, 0.4071, 0.2500) (multiplicity 4)  8 Tm 3.41-3.72, 2 Pm 3.52
Tm (0.0637, 0.1910, 0.4426) (multiplicity 8)  7 Tm 3.36-3.69, 1 Pm 3.48, 1 Y 3.64, 1 Er 3.72
Tm (0.1039, 0.3942, 0.6187) (multiplicity 8)  4 Tm 3.19-3.46, 3 Pm 3.23-3.39, 2 Er 3.41-3.51
Tm (0.2013, 0.2240, 0.8135) (multiplicity 8)  2 Tm 3.19-3.52, 1 Pm 3.35, 1 Er 3.44, 1 Y 3.56

Summary:
The calculation puts the total magnetization at 0.00 μB/f.u. Its formation energy is 1.159 eV/f.u. Its crystal system is monoclinic.


(5)
Compound: BaZrFe2
Source: the Alexandria database
Functional: PBE-GGA
Structure: relaxed

Cell: 3.5399 3.5806 7.2262 Å, 90.00 90.06 90.00°
Last column: nearest neighbours and their distance in Å.
Space group P2/m (No. 10)
Symmetry-distinct sites (fractional):
Ba (0.0000, 0.0000, 0.0000) (multiplicity 1)  8 Fe 3.52, 4 Ba 3.54-3.58, 2 Zr 3.61
Zr (0.0000, 0.0000, 0.5000) (multiplicity 1)  8 Fe 2.77
Fe (0.4993, 0.5000, 0.3407) (multiplicity 2)  1 Fe 2.30

Summary:
The calculation puts the offset from the most stable computed form at 48.4 meV per atom. The calculation puts the total magnetization at 3.78 μB/f.u. Its formation energy is 1.347 eV/f.u. Its crystal system is monoclinic.


(6)
Compound: CeY2Au3
Source: the Alexandria database
Functional: PBE-GGA
Structure: relaxed

Cell: 3.6007 3.6007 11.1444 Å, 90.00 90.00 90.00°
Last column: nearest neighbours and their distance in Å.
Space group P4/mmm (No. 123)
Symmetry-distinct sites (fractional):
Ce (0.0000, 0.0000, 0.0000) (multiplicity 1)  8 Au 3.25, 4 Ce 3.60
Y (0.0000, 0.0000, 0.3372) (multiplicity 2)  8 Au 3.09-3.13
Au (0.5000, 0.5000, 0.1808) (multiplicity 2)  4 Y 3.09, 4 Ce 3.25
Au (0.5000, 0.5000, 0.5000) (multiplicity 1)  8 Y 3.13

Summary:
The calculation puts the total magnetization at 1.22 μB/f.u. Its formation energy is -4.631 eV/f.u. Its crystal system is tetragonal.


(7)
Compound: ReAs
Source: the Alexandria database
Functional: PBE-GGA
Structure: relaxed

Cell: 4.2879 4.2879 13.3092 Å, 90.00 90.00 120.00°
Last column: nearest neighbours and their distance in Å.
Space group P-3m1 (No. 164)
Symmetry-distinct sites (fractional):
Re (0.0000, 0.0000, 0.1092) (multiplicity 2)  4 As 2.53-2.57, 3 Re 2.63
Re (0.3333, 0.6667, 0.1757) (multiplicity 2)  4 Re 2.46-2.63
Re (0.3333, 0.6667, 0.3608) (multiplicity 2)  1 Re 2.46, 7 As 2.59-2.71
As (0.0000, 0.0000, 0.3025) (multiplicity 2)  4 Re 2.57-2.59
As (0.3333, 0.6667, 0.5641) (multiplicity 2)  4 Re 2.67-2.71
As (0.3333, 0.6667, 0.9286) (multiplicity 2)  3 Re 2.53

Summary:
The calculation puts the offset from the most stable computed form at 228.8 meV per atom. The calculation puts the total magnetization at 0.00 μB/f.u. Its formation energy is 0.608 eV/f.u. Its crystal system is trigonal.


(8)
Compound: Ti3Al4Pd
Source: the Alexandria database
Functional: PBE-GGA
Structure: relaxed

Cell: 2.8704 2.8704 15.3489 Å, 90.00 90.00 90.00°
Last column: nearest neighbours and their distance in Å.
Space group P4/mmm (No. 123)
Symmetry-distinct sites (fractional):
Ti (0.0000, 0.0000, 0.0000) (multiplicity 1)  8 Al 2.85, 4 Ti 2.87
Ti (0.0000, 0.0000, 0.2607) (multiplicity 2)  8 Al 2.82-2.85, 4 Ti 2.87
Al (0.5000, 0.5000, 0.1300) (multiplicity 2)  8 Ti 2.85, 4 Al 2.87
Al (0.5000, 0.5000, 0.3882) (multiplicity 2)  4 Pd 2.66, 4 Ti 2.82, 4 Al 2.87
Pd (0.0000, 0.0000, 0.5000) (multiplicity 1)  8 Al 2.66, 4 Pd 2.87

Summary:
The calculation puts the offset from the most stable computed form at 0.0 meV per atom. The calculation puts the total magnetization at 0.00 μB/f.u. Its formation energy is -4.194 eV/f.u. Its crystal system is tetragonal.


(9)
Compound: CaReF3
Source: the Alexandria database
Functional: PBE-GGA
Structure: relaxed

Cell: 4.1991 4.1991 4.1991 Å, 90.00 90.00 90.00°
Last column: nearest neighbours and their distance in Å.
Space group Pm-3m (No. 221)
Symmetry-distinct sites (fractional):
Ca (0.0000, 0.0000, 0.0000) (multiplicity 1)  12 F 2.97
Re (0.5000, 0.5000, 0.5000) (multiplicity 1)  6 F 2.10
F (0.0000, 0.5000, 0.5000) (multiplicity 3)  2 Re 2.10

Summary:
The calculation puts the offset from the most stable computed form at 443.5 meV per atom. Its energy relative to the elements, uncorrected is -1.067 eV per atom. The calculation puts the total magnetization at 0.00 μB/f.u. Its crystal system is cubic.


(10)
Compound: ReRhCl2
Source: the Alexandria database
Functional: PBE-GGA
Structure: relaxed

Cell: 2.8514 5.3139 9.6578 Å, 90.00 90.00 90.00°
Last column: nearest neighbours and their distance in Å.
Space group Cmm2 (No. 35)
Symmetry-distinct sites (fractional):
Re (0.0000, 0.0000, 0.0000) (multiplicity 2)  2 Cl 2.43, 2 Rh 2.61
Rh (0.0000, 0.5000, 0.7736) (multiplicity 2)  2 Cl 2.50, 2 Re 2.61
Cl (0.0000, 0.0000, 0.5608) (multiplicity 2)  2 Rh 2.50
Cl (0.0000, 0.5000, 0.2040) (multiplicity 2)  2 Re 2.43

Summary:
The calculation puts the offset from the most stable computed form at 396.4 meV per atom. Its energy relative to the elements, uncorrected is 0.366 eV per atom. The calculation puts the total magnetization at 0.90 μB/f.u. Its crystal system is orthorhombic.


(11)
Compound: CdSiAs4
Source: the Alexandria database
Functional: PBE-GGA
Structure: relaxed

Cell: 7.9367 7.9367 7.9367 Å, 90.00 90.00 90.00°
Last column: nearest neighbours and their distance in Å.
Space group F-43m (No. 216)
Symmetry-distinct sites (fractional):
Cd (0.0000, 0.0000, 0.0000) (multiplicity 4)  12 As 3.29, 4 Si 3.44
Si (0.2500, 0.2500, 0.7500) (multiplicity 4)  12 As 3.29, 4 Cd 3.44
As (0.1239, 0.1239, 0.3761) (multiplicity 16)  6 As 2.78-2.83

Summary:
Its energy relative to the elements, uncorrected is 0.556 eV per atom. The calculation puts the total magnetization at 0.00 μB/f.u. Its crystal system is cubic.


(12)
Compound: Ce7HgBr12
Source: the Alexandria database
Functional: PBE-GGA
Structure: relaxed

Cell: 15.8559 15.8559 9.7189 Å, 90.00 90.00 120.00°
Last column: nearest neighbours and their distance in Å.
Space group R-3 (No. 148, hexagonal axes)
Symmetry-distinct sites (fractional):
Ce (0.0000, 0.0000, 0.0000) (multiplicity 3)  6 Br 3.04
Ce (0.0459, 0.8736, 0.3143) (multiplicity 18)  5 Br 3.01-3.08, 1 Hg 3.04
Hg (0.0000, 0.0000, 0.5000) (multiplicity 3)  6 Ce 3.04
Br (0.0355, 0.4450, 0.1619) (multiplicity 18)  3 Ce 3.05-3.08
Br (0.0501, 0.8628, 0.8485) (multiplicity 18)  3 Ce 3.01-3.04

Summary:
Its energy relative to the elements, uncorrected is -1.462 eV per atom. The calculation puts the total magnetization at 9.83 μB/f.u. Its crystal system is trigonal.


Number 1: density of states at the Fermi level 1.20 states/eV/f.u.. Number 2: density of states at the Fermi level 3.22 states/eV/f.u.. Number 3: density of states at the Fermi level 0.79 states/eV/f.u.. Number 4: density of states at the Fermi level 13.01 states/eV/f.u.. Number 5: density of states at the Fermi level 5.00 states/eV/f.u.. Number 6: density of states at the Fermi level 8.59 states/eV/f.u.. Number 7: density of states at the Fermi level 1.31 states/eV/f.u.. Number 8: density of states at the Fermi level 6.08 states/eV/f.u.. Number 9: density of states at the Fermi level 3.86 states/eV/f.u.. Number 10: density of states at the Fermi level 4.73 states/eV/f.u.. Number 11: density of states at the Fermi level 4.18 states/eV/f.u.. Number 12: density of states at the Fermi level 48.91 states/eV/f.u..